(1)
Density functional theory data (PBEsol) for crystalline Ru3W at its relaxed geometry.

a = 3.8154 Å, b = 3.8154 Å, c = 3.8154 Å
α = 90.00°, β = 90.00°, γ = 90.00°
Space group Pm-3m (No. 221)
One atom of each set of equivalent atoms:
Ru  0.0000  0.0000  0.5000 x3
W  0.5000  0.5000  0.5000 x1

Values from the calculation:
Spin magnetization (μB/f.u.): 0.0

(2)
Density functional theory data (PBEsol) for crystalline RuW2 at its relaxed geometry.

a = 9.5437 Å, b = 9.5437 Å, c = 4.9426 Å
α = 90.00°, β = 90.00°, γ = 90.00°
Space group P4_2/mnm (No. 136)
One atom of each set of equivalent atoms:
Ru  0.0000  0.0000  0.0000 x2
Ru  0.0699  0.2631  0.0000 x8
W  0.0382  0.3701  0.5000 x8
W  0.1040  0.1040  0.5000 x4
W  0.1792  0.8208  0.2504 x8

Values from the calculation:
Spin magnetization (μB/f.u.): 0.0

(3)
Density functional theory data (PBEsol) for crystalline RuW at its relaxed geometry.

a = 5.5628 Å, b = 5.5628 Å, c = 5.5628 Å
α = 90.00°, β = 90.00°, γ = 90.00°
Space group F-43m (No. 216)
One atom of each set of equivalent atoms:
Ru  0.0000  0.0000  0.0000 x4
W  0.2500  0.2500  0.7500 x4

Values from the calculation:
Spin magnetization (μB/f.u.): 0.0

(4)
Density functional theory data (PBEsol) for crystalline RuW at its relaxed geometry.

a = 2.7483 Å, b = 2.7483 Å, c = 26.9467 Å
α = 90.00°, β = 90.00°, γ = 120.00°
Space group R-3m (No. 166, hexagonal axes)
One atom of each set of equivalent atoms:
Ru  0.0000  0.0000  0.1249 x6
W  0.0000  0.0000  0.3788 x6

Values from the calculation:
Spin magnetization (μB/f.u.): 0.0

(5)
Density functional theory data (PBEsol) for crystalline Y2RuW at its relaxed geometry.

a = 3.3344 Å, b = 4.6093 Å, c = 4.9672 Å
α = 90.00°, β = 90.00°, γ = 90.00°
Space group Pmmm (No. 47)
One atom of each set of equivalent atoms:
Y  0.0000  0.0000  0.0000 x1
Y  0.5000  0.0000  0.5000 x1
Ru  0.0000  0.5000  0.5000 x1
W  0.5000  0.5000  0.0000 x1

Values from the calculation:
Spin magnetization (μB/f.u.): 0.0

(6)
Density functional theory data (PBEsol) for crystalline Y4RuW at its relaxed geometry.

a = 8.1441 Å, b = 8.1441 Å, c = 8.1441 Å
α = 90.00°, β = 90.00°, γ = 90.00°
Space group F-43m (No. 216)
One atom of each set of equivalent atoms:
Y  0.1250  0.1250  0.1250 x16
Ru  0.0000  0.0000  0.5000 x4
W  0.2500  0.2500  0.7500 x4

Values from the calculation:
Spin magnetization (μB/f.u.): 0.0

(7)
Density functional theory data (PBEsol) for crystalline Y3RuW at its relaxed geometry.

a = 5.1388 Å, b = 5.1388 Å, c = 5.1388 Å
α = 90.00°, β = 90.00°, γ = 90.00°
Space group Pm-3m (No. 221)
One atom of each set of equivalent atoms:
Y  0.0000  0.0000  0.5000 x3
Ru  0.0000  0.0000  0.0000 x1
W  0.5000  0.5000  0.5000 x1

Values from the calculation:
Spin magnetization (μB/f.u.): 3.4

(8)
Density functional theory data (PBEsol) for crystalline ZnRu2W at its relaxed geometry.

a = 2.7164 Å, b = 2.7164 Å, c = 26.3979 Å
α = 90.00°, β = 90.00°, γ = 120.00°
Space group R3m (No. 160, hexagonal axes)
One atom of each set of equivalent atoms:
Zn  0.0000  0.0000  0.0000 x3
Ru  0.0000  0.0000  0.2520 x3
Ru  0.0000  0.0000  0.5055 x3
W  0.0000  0.0000  0.7548 x3

Values from the calculation:
Spin magnetization (μB/f.u.): 0.0

| no. | formation enthalpy at 0 K (kJ/mol of formula units) |
| --- | --- |
| 1 | -7 |
| 2 | 12 |
| 3 | 320 |
| 4 | 43 |
| 5 | 179 |
| 6 | 704 |
| 7 | 419 |
| 8 | 66 |